No. 1
{"formula": "RbTa3Os", "functional": "PBE-GGA", "state": "optimized geometry", "lattice_angstrom": [[5.019, 0.000, 0.000], [0.000, 5.019, 0.000], [0.000, 0.000, 5.019]], "species": ["Rb", "Ta", "Ta", "Ta", "Os"], "fractional_positions": [[0.000, 0.000, 0.000], [0.000, 0.500, 0.500], [0.500, 0.000, 0.500], [0.500, 0.500, 0.000], [0.500, 0.500, 0.500]], "formation_energy_ev_per_atom": 1.41, "crystal_system": "cubic", "magnetic_moment_mub_per_cell": 0.9, "spacegroup": "Pm-3m, No. 221", "dos_at_fermi_per_ev_atom": 1.41}

---

No. 2
{"formula": "SrMnAgSe2", "functional": "PBE-GGA", "state": "optimized geometry", "lattice_angstrom": [[5.740, 0.000, 0.000], [0.000, 5.740, 0.000], [0.000, 0.000, 5.797]], "species": ["Sr", "Mn", "Ag", "Se", "Se"], "fractional_positions": [[0.000, 0.000, 0.000], [0.000, 0.000, 0.500], [0.500, 0.500, 0.500], [0.000, 0.500, 0.000], [0.500, 0.000, 0.000]], "crystal_system": "tetragonal", "formation_energy_uncorrected_ev_per_atom": 0.6934, "magnetic_moment_mub_per_cell": 5.8, "spacegroup": "P4/mmm, No. 123", "dos_at_fermi_per_ev_atom": 0.62}

---

No. 3
{"formula": "Sb2MoW", "functional": "PBE-GGA", "state": "optimized geometry", "lattice_angstrom": [[6.760, 0.000, 0.000], [0.000, 6.760, 0.000], [0.000, 0.000, 6.760]], "species": ["Sb", "Sb", "Sb", "Sb", "Sb", "Sb", "Sb", "Sb", "Mo", "Mo", "Mo", "Mo", "W", "W", "W", "W"], "fractional_positions": [[0.000, 0.000, 0.000], [0.000, 0.500, 0.500], [0.250, 0.250, 0.250], [0.250, 0.750, 0.750], [0.500, 0.000, 0.500], [0.500, 0.500, 0.000], [0.750, 0.250, 0.750], [0.750, 0.750, 0.250], [0.000, 0.000, 0.500], [0.000, 0.500, 0.000], [0.500, 0.000, 0.000], [0.500, 0.500, 0.500], [0.250, 0.250, 0.750], [0.250, 0.750, 0.250], [0.750, 0.250, 0.250], [0.750, 0.750, 0.750]], "crystal_system": "cubic", "formation_energy_uncorrected_ev_per_atom": 0.7740, "magnetic_moment_mub_per_cell": 0.0, "spacegroup": "F-43m, No. 216", "dos_at_fermi_per_ev_atom": 0.93}